(1)
A geometry-optimized CrSiOs2 structure, computed with PBE-GGA.

## Properties
The calculation puts the magnetic moment at 1.04 μB per formula unit. The calculation puts the calculated density at 14.4 Mg/m³. The value obtained for the formation energy without anion corrections is -0.107 eV/atom.

Geometry as POSCAR:
```
CrSiOs2
1.0
-1.4679 -2.7803 -3.4463
0.4394 -4.2441 -1.8858
-3.2329 -2.4597 1.6442
Cr Os Si
1 2 1
Direct
0.7537 0.7537 0.7999
0.0074 0.0074 0.9304
0.2407 0.2407 0.3175
0.4982 0.4982 0.4522
```

=====

(2)
A geometry-optimized CrSiOs2 structure, computed with PBE-GGA.

## Properties
The calculation puts the magnetic moment at 0.00 μB per formula unit. The calculation puts the calculated density at 14.7 Mg/m³. The value obtained for the formation energy without anion corrections is -0.056 eV/atom.

Geometry as POSCAR:
```
CrSiOs2
1.0
2.8284 0.0000 0.0000
0.0000 2.8284 0.0000
0.0000 0.0000 6.4922
Cr Os Si
1 2 1
Direct
0.5000 0.5000 0.7282
0.0000 0.0000 0.9851
0.5000 0.5000 0.2760
0.0000 0.0000 0.5107
```

=====

(3)
A geometry-optimized CrSiOs2 structure, computed with PBE-GGA.

## Properties
The calculation puts the magnetic moment at 0.00 μB per formula unit. The calculation puts the calculated density at 14.1 Mg/m³. The value obtained for the formation energy without anion corrections is 0.306 eV/atom.

Geometry as POSCAR:
```
CrSiOs2
1.0
-1.4404 0.5391 2.2177
-0.6511 -2.2523 -1.3366
5.4542 -4.2991 4.5876
Cr Os Si
1 2 1
Direct
0.5000 0.5000 0.7375
0.0000 0.0000 0.9840
0.5000 0.5000 0.2723
0.0000 0.0000 0.5062
```

=====

(4)
A geometry-optimized CrSiOs2 structure, computed with PBE-GGA.

## Properties
The calculation puts the magnetic moment at 0.53 μB per formula unit. The calculation puts the calculated density at 14.3 Mg/m³. The value obtained for the formation energy without anion corrections is 0.025 eV/atom.

Geometry as POSCAR:
```
CrSiOs2
1.0
-6.7553 -4.2734 2.2553
-5.2477 -4.5629 4.5414
-6.7913 -2.3102 4.1862
Cr Os Si
1 2 1
Direct
0.7500 0.7500 0.7500
0.9991 0.9991 0.9991
0.5009 0.5009 0.5009
0.2500 0.2500 0.2500
```

=====

(5)
A geometry-optimized CrSi2Os structure, computed with PBE-GGA.

## Properties
The calculation puts the magnetic moment at 1.27 μB per formula unit. The calculation puts the calculated density at 9.1 Mg/m³. The value obtained for the formation energy without anion corrections is 0.007 eV/atom.

Geometry as POSCAR:
```
CrSi2Os
1.0
3.8788 0.0000 0.0000
0.0000 2.7995 -0.0206
0.0000 0.1715 4.9973
Cr Os Si
1 1 2
Direct
0.5000 0.2500 0.2500
0.5000 0.7500 0.7500
0.0000 0.8414 0.0154
0.0000 0.6586 0.4846
```

=====

(6)
A geometry-optimized CrSi2Os structure, computed with PBE-GGA.

## Properties
The calculation puts the magnetic moment at 0.91 μB per formula unit. The calculation puts the calculated density at 9.2 Mg/m³. The value obtained for the formation energy without anion corrections is -0.180 eV/atom.

Geometry as POSCAR:
```
CrSi2Os
1.0
-2.4344 0.8977 -4.9392
-2.9783 -3.4250 -3.2446
0.8621 2.4091 4.9579
Cr Os Si
1 1 2
Direct
0.5267 0.5267 0.0000
0.2949 0.7949 0.5000
0.9632 0.9632 0.0000
0.7152 0.2152 0.5000
```

=====

(7)
A geometry-optimized CrSi2Os structure, computed with PBE-GGA.

## Properties
The calculation puts the magnetic moment at 1.75 μB per formula unit. The calculation puts the calculated density at 9.8 Mg/m³. The value obtained for the formation energy without anion corrections is -0.208 eV/atom.

Geometry as POSCAR:
```
CrSi2Os
1.0
0.0084 -3.2413 2.5833
-3.5833 -1.7011 1.2024
-1.0786 -3.7553 -1.3833
Cr Si Os
1 2 1
Direct
0.0000 0.0000 0.0000
0.2500 0.2500 0.2500
0.7500 0.7500 0.7500
0.5000 0.5000 0.5000
```

=====

(8)
A geometry-optimized CrSiOs2 structure, computed with PBE-GGA.

## Properties
The calculation puts the magnetic moment at 0.34 μB per formula unit. The calculation puts the calculated density at 14.3 Mg/m³. The value obtained for the formation energy without anion corrections is -0.028 eV/atom.

Geometry as POSCAR:
```
CrSiOs2
1.0
5.0109 0.0009 -0.0016
2.2825 4.4608 0.0016
-3.0957 -3.1316 2.3914
Cr Os Si
1 2 1
Direct
0.2500 0.7500 0.5000
0.9743 0.9743 0.0000
0.5257 0.5257 0.0000
0.7500 0.2500 0.5000
```

=====

(9)
A geometry-optimized CrSiOs2 structure, computed with PBE-GGA.

## Properties
The calculation puts the magnetic moment at 0.75 μB per formula unit. The calculation puts the calculated density at 14.3 Mg/m³. The value obtained for the formation energy without anion corrections is 0.143 eV/atom.

Geometry as POSCAR:
```
CrSiOs2
1.0
-0.1290 -2.7227 0.9483
2.9416 -1.2505 -3.1902
3.1174 0.7509 2.5802
Cr Os Si
1 2 1
Direct
0.0000 0.5000 0.5000
0.0000 0.0000 0.0000
0.5000 0.5000 0.0000
0.5000 0.0000 0.5000
```

=====

(10)
A geometry-optimized CrSi2Os structure, computed with PBE-GGA.

## Properties
The calculation puts the magnetic moment at 0.44 μB per formula unit. The calculation puts the calculated density at 9.0 Mg/m³. The value obtained for the formation energy without anion corrections is 0.096 eV/atom.

Geometry as POSCAR:
```
CrSi2Os
1.0
2.7398 0.0000 0.0000
0.0000 2.7398 0.0000
0.0000 0.0000 7.3151
Cr Os Si
1 1 2
Direct
0.0000 0.0000 0.5104
0.5000 0.5000 0.7338
0.0000 0.0000 0.9721
0.5000 0.5000 0.2837
```

=====

(11)
A geometry-optimized CrSi2Os structure, computed with PBE-GGA.

## Properties
The calculation puts the magnetic moment at 0.95 μB per formula unit. The calculation puts the calculated density at 9.5 Mg/m³. The value obtained for the formation energy without anion corrections is -0.036 eV/atom.

Geometry as POSCAR:
```
CrSi2Os
1.0
7.9478 0.0146 0.0086
7.4572 2.7492 0.0086
7.4572 1.3379 2.4017
Cr Os Si
1 1 2
Direct
0.2500 0.2500 0.2500
0.7500 0.7500 0.7500
0.9984 0.9984 0.9984
0.5016 0.5016 0.5016
```

=====

(12)
A geometry-optimized CrSi2Os structure, computed with PBE-GGA.

## Properties
The calculation puts the magnetic moment at 2.16 μB per formula unit. The calculation puts the calculated density at 9.6 Mg/m³. The value obtained for the formation energy without anion corrections is -0.055 eV/atom.

Geometry as POSCAR:
```
CrSi2Os
1.0
4.6835 -0.0175 0.0000
1.8904 4.2851 0.0000
-3.2870 -2.1338 2.5648
Cr Os Si
1 1 2
Direct
0.5000 0.5000 0.0000
0.7500 0.2500 0.5000
0.0000 0.0000 0.0000
0.2500 0.7500 0.5000
```